1.
A plane-wave DFT calculation with PBE was carried out for an optimized crystal structure of ZnGa.

a b c (Å): 4.8153 8.7127 4.7716
angles (deg): 90.00 90.00 90.00
With the nearest neighbours (Å) after each atom.
Fractional positions:
Ga (0.3242, 0.6689, 0.5000)  9 Zn 2.77-2.92, 3 Ga 2.83-2.87
Ga (0.3431, 0.9976, 0.5000)  5 Zn 2.76-2.96, 7 Ga 2.83-2.94
Ga (0.4988, 0.1758, 0.0000)  6 Zn 2.78-3.07, 6 Ga 2.90-2.94
Ga (0.8242, 0.4978, 0.5000)  9 Zn 2.77-2.92, 3 Ga 2.83-2.87
Ga (0.9988, 0.9908, 0.0000)  6 Zn 2.78-3.07, 6 Ga 2.90-2.94
Ga (0.8431, 0.1690, 0.5000)  5 Zn 2.76-2.96, 7 Ga 2.83-2.94
Zn (0.5068, 0.8232, 0.0000)  5 Zn 2.74-2.85, 6 Ga 2.78-2.94
Zn (0.8287, 0.8295, 0.5000)  8 Ga 2.76-2.96, 4 Zn 2.85-2.90
Zn (0.4983, 0.5009, 0.0000)  7 Zn 2.74-2.90, 5 Ga 2.83-2.92
Zn (0.0068, 0.3435, 0.0000)  5 Zn 2.74-2.85, 6 Ga 2.78-2.94
Zn (0.3287, 0.3371, 0.5000)  8 Ga 2.76-2.96, 4 Zn 2.85-2.90
Zn (0.9983, 0.6658, 0.0000)  7 Zn 2.74-2.90, 5 Ga 2.83-2.92

## Properties
The symmetry is Pmc2_1. As for the total DFT energy (no corrections): -4.16 eV/f.u.

2.
A plane-wave DFT calculation with PBE was carried out for an optimized crystal structure of ZnGa.

a b c (Å): 4.8756 2.8681 4.7797
angles (deg): 90.00 90.00 90.00
With the nearest neighbours (Å) after each atom.
Fractional positions:
Zn (0.8363, 0.5000, 0.5000)  6 Ga 2.80-2.89, 6 Zn 2.87-2.90
Zn (0.9971, 0.0000, 0.0000)  6 Ga 2.80-2.89, 6 Zn 2.87-2.90
Ga (0.5040, 0.5000, 0.0000)  6 Zn 2.80-2.89, 6 Ga 2.87-2.91
Ga (0.3293, 0.0000, 0.5000)  6 Zn 2.80-2.89, 6 Ga 2.87-2.91

## Properties
The symmetry is Pmmn. As for the total DFT energy (no corrections): -4.15 eV/f.u.

3.
A plane-wave DFT calculation with PBE was carried out for an optimized crystal structure of Zn5Ga.

a b c (Å): 4.7767 4.7767 4.7182
angles (deg): 90.00 90.00 60.00
With the nearest neighbours (Å) after each atom.
Fractional positions:
Zn (0.3386, 0.6614, 0.5000)  10 Zn 2.74-2.84, 2 Ga 2.86
Zn (0.6614, 0.0000, 0.5000)  10 Zn 2.74-2.84, 2 Ga 2.86
Zn (0.3333, 0.3333, 0.0000)  9 Zn 2.76-2.84, 3 Ga 2.76
Zn (0.6667, 0.6667, 0.0000)  9 Zn 2.76-2.84, 3 Ga 2.76
Zn (0.0000, 0.3386, 0.5000)  10 Zn 2.74-2.84, 2 Ga 2.86
Ga (0.0000, 0.0000, 0.0000)  12 Zn 2.76-2.86

## Properties
The symmetry is P-62m. As for the total DFT energy (no corrections): -9.10 eV/f.u.

4.
A plane-wave DFT calculation with PBE was carried out for an optimized crystal structure of ZnGa4.

a b c (Å): 5.0880 5.0880 5.0880
angles (deg): 109.47 109.47 109.47
With the nearest neighbours (Å) after each atom.
Fractional positions:
Ga (0.0000, 0.0000, 0.5000)  2 Zn 2.54
Ga (0.5000, 0.0000, 0.0000)  2 Zn 2.54
Ga (0.0000, 0.5000, 0.0000)  2 Zn 2.54
Ga (0.5000, 0.5000, 0.5000)  2 Zn 2.54
Zn (0.0000, 0.0000, 0.0000)  8 Ga 2.54

## Properties
The symmetry is Im-3m. As for the total DFT energy (no corrections): -12.52 eV/f.u. The calculation puts the distance to the lowest polymorph of the same formula at 116 meV/atom.

5.
A plane-wave DFT calculation with PBE was carried out for an optimized crystal structure of ZnGa.

a b c (Å): 4.7802 5.8109 4.8028
angles (deg): 90.00 90.00 90.00
With the nearest neighbours (Å) after each atom.
Fractional positions:
Ga (0.9952, 0.4935, 0.0000)  6 Zn 2.76-3.00, 6 Ga 2.84-2.94
Ga (0.4952, 0.7565, 0.0000)  6 Zn 2.76-3.00, 6 Ga 2.84-2.94
Ga (0.8382, 0.7565, 0.5000)  6 Zn 2.76-3.00, 6 Ga 2.84-2.94
Ga (0.3382, 0.4935, 0.5000)  6 Zn 2.76-3.00, 6 Ga 2.84-2.94
Zn (0.5074, 0.2403, 0.0000)  6 Zn 2.74-2.88, 6 Ga 2.76-3.00
Zn (0.3260, 0.0097, 0.5000)  6 Zn 2.74-2.88, 6 Ga 2.76-3.00
Zn (0.8260, 0.2403, 0.5000)  6 Zn 2.74-2.88, 6 Ga 2.76-3.00
Zn (0.0074, 0.0097, 0.0000)  6 Zn 2.74-2.88, 6 Ga 2.76-3.00

## Properties
The symmetry is Pbcm. As for the total DFT energy (no corrections): -4.17 eV/f.u.

6.
A plane-wave DFT calculation with PBE was carried out for an optimized crystal structure of ZnGa.

a b c (Å): 4.9159 7.5410 4.7810
angles (deg): 90.00 90.00 71.04
With the nearest neighbours (Å) after each atom.
Fractional positions:
Zn (0.4004, 0.1912, 0.0000)  6 Ga 2.76-2.92, 6 Zn 2.78-2.88
Zn (0.8587, 0.6001, 0.5000)  10 Ga 2.85-2.92, 2 Zn 2.87-2.88
Zn (0.6733, 0.0030, 0.5000)  5 Ga 2.78-2.90, 7 Zn 2.82-2.88
Zn (0.9917, 0.0086, 0.0000)  6 Ga 2.75-2.91, 6 Zn 2.78-2.88
Zn (0.0765, 0.1971, 0.5000)  5 Ga 2.77-2.90, 7 Zn 2.82-2.88
Ga (0.1991, 0.6000, 0.0000)  8 Ga 2.84-2.92, 4 Zn 2.91-2.92
Ga (0.8072, 0.3946, 0.0000)  7 Zn 2.75-2.90, 5 Ga 2.84-2.93
Ga (0.4650, 0.3939, 0.5000)  7 Zn 2.77-2.91, 5 Ga 2.92-2.94
Ga (0.2586, 0.8065, 0.5000)  7 Zn 2.78-2.91, 5 Ga 2.92-2.94
Ga (0.6026, 0.8050, 0.0000)  7 Zn 2.76-2.90, 5 Ga 2.84-2.93

## Properties
The symmetry is Pm. As for the total DFT energy (no corrections): -4.16 eV/f.u.